Computed, not measured: a relaxed structure of PmNdZnAu at the PBE-GGA level of DFT.

The structure in CIF format:
```
data_PmNdZnAu
_chemical_formula_sum 'Pm4 Nd4 Zn4 Au4'
_cell_length_a 7.392
_cell_length_b 7.392
_cell_length_c 7.392
_cell_angle_alpha 90.00
_cell_angle_beta 90.00
_cell_angle_gamma 90.00
_space_group_name_H-M_alt 'F -4 3 m'
_space_group_IT_number 216
_space_group_name_Hall 'F -4 2 3'
loop_
_atom_site_label
_atom_site_type_symbol
_atom_site_fract_x
_atom_site_fract_y
_atom_site_fract_z
Pm1 Pm 0.000 0.000 0.000
Nd1 Nd 0.000 0.000 0.500
Zn1 Zn 0.250 0.250 0.750
Au1 Au 0.250 0.250 0.250
```

DFT total energy, Ry/atom: -0.297
ΔE_f, eV/atom: -0.526
ρ, g/cm³: 9.07